Below is a relaxed Cr2NiO6 crystal, with properties calculated at the PBE+U level.

Space group: C2/c (15)
E (eV per atom): -6.4330

The structure in extended XYZ format:
```
18
Lattice="-3.214 3.980 -2.395 -4.797 -3.472 -3.258 -4.772 1.283 4.611" Properties=species:S:1:pos:R:3 pbc="T T T"
Cr -7.504 -0.100 1.109
Cr -3.667 0.808 0.548
Cr -5.279 1.891 -2.151
Cr -9.115 0.982 -1.590
Ni -5.577 1.869 3.336
Ni -7.205 -0.079 -4.378
O -7.781 0.634 -0.489
O -6.608 3.031 -1.941
O -5.001 1.157 -0.553
O -6.174 -1.241 0.899
O -8.752 0.534 -3.144
O -5.650 0.724 -3.269
O -4.030 1.257 2.103
O -7.132 1.067 2.227
O -8.889 -1.054 1.459
O -2.282 1.558 -0.140
O -3.893 2.845 -2.501
O -10.500 0.233 -0.902
```